# 1
Here is Cd2SiAu after structural relaxation from Alexandria via LeMat-Bulk. Energies are from PBE-GGA.

Computed properties:
- E_form (uncorrected): 133 meV per atom
- Mass density: 8.7 g/cm3
- Magnetization: 0.00 μB/f.u.
- Space-group type: R3m

a b c (Å): 8.245 8.245 8.245
angles (deg): 24.65 24.65 24.65
Element x y z (fractional)
Au 0.761 0.761 0.761
Cd 0.006 0.006 0.006
Cd 0.243 0.243 0.243
Si 0.489 0.489 0.489

# 2
Here is Cd2SiAu after structural relaxation from Alexandria via LeMat-Bulk. Energies are from PBE-GGA.

Computed properties:
- E_form (uncorrected): 138 meV per atom
- Mass density: 9.2 g/cm3
- Magnetization: 0.00 μB/f.u.
- Space-group type: Pmm2

a b c (Å): 2.891 3.716 7.549
angles (deg): 90.00 90.00 90.00
Element x y z (fractional)
Au 0.500 0.500 0.716
Cd 0.000 0.000 0.980
Cd 0.500 0.500 0.268
Si 0.000 0.000 0.536

# 3
Here is Cd2SiAu after structural relaxation from Alexandria via LeMat-Bulk. Energies are from PBE-GGA.

Computed properties:
- E_form (uncorrected): 168 meV per atom
- Mass density: 9.6 g/cm3
- Magnetization: 0.00 μB/f.u.
- Space-group type: I4/mmm

a b c (Å): 5.237 5.237 5.237
angles (deg): 132.00 131.98 70.24
Element x y z (fractional)
Au 0.250 0.750 0.500
Cd 0.000 0.000 0.000
Cd 0.500 0.500 0.000
Si 0.750 0.250 0.500

# 4
Here is Cd2SiAu after structural relaxation from Alexandria via LeMat-Bulk. Energies are from PBE-GGA.

Computed properties:
- E_form (uncorrected): 247 meV per atom
- Mass density: 8.8 g/cm3
- Magnetization: 0.00 μB/f.u.
- Space-group type: I-42d

a b c (Å): 7.805 7.805 6.184
angles (deg): 50.87 50.87 90.00
Element x y z (fractional)
Si 0.500 0.500 0.000
Si 0.250 0.750 0.500
Au 0.000 0.000 0.000
Au 0.750 0.250 0.500
Cd 0.609 0.125 0.250
Cd 0.141 0.625 0.250
Cd 0.375 0.391 0.750
Cd 0.875 0.859 0.750

One value per record, in order, for energy: -10.0; -10.0; -9.9; -9.5 eV per formula unit.